a) The following is a meta-GGA SCAN calculation of ZnSb2Te at its PBEsol-relaxed geometry, from the Alexandria database.

## Properties
Space-group type   No. 123

```
ZnSb2Te
1.0
4.1980 0.0000 0.0000
0.0000 4.1980 0.0000
0.0000 0.0000 5.9497
Zn Sb Te
1 2 1
direct
0.0000 0.0000 0.0000
0.0000 0.0000 0.5000
0.5000 0.5000 0.5000
0.5000 0.5000 0.0000
```

b) The following is a meta-GGA SCAN calculation of ZnSb2Te at its PBEsol-relaxed geometry, from the Alexandria database.

## Properties
Space-group type   No. 123

```
ZnSb2Te
1.0
5.1661 0.0000 0.0000
0.0000 5.1661 0.0000
0.0000 0.0000 3.6316
Zn Sb Te
1 2 1
direct
0.0000 0.0000 0.0000
0.0000 0.5000 0.5000
0.5000 0.0000 0.5000
0.5000 0.5000 0.0000
```

Energies, relative to the best one, in kJ/mol of atoms: a) 0.0; b) 29.7.

a) The following is a meta-GGA SCAN calculation of ZnSb2Te at its PBEsol-relaxed geometry, from the Alexandria database.

## Properties
Space-group type   No. 123

```
ZnSb2Te
1.0
3.3168 0.0000 0.0000
0.0000 3.3168 0.0000
0.0000 0.0000 8.8339
Zn Sb Te
1 2 1
direct
0.0000 0.0000 0.0000
0.5000 0.5000 0.1919
0.5000 0.5000 0.8081
0.0000 0.0000 0.5000
```

b) The following is a meta-GGA SCAN calculation of ZnSb2Te at its PBEsol-relaxed geometry, from the Alexandria database.

## Properties
Space-group type   No. 216

```
ZnSb2Te
1.0
0.0000 3.6445 3.6445
3.6445 0.0000 3.6445
3.6445 3.6445 0.0000
Zn Sb Te
1 2 1
direct
0.0000 0.0000 0.0000
0.5000 0.5000 0.5000
0.7500 0.7500 0.7500
0.2500 0.2500 0.2500
```

Energies, relative to the best one, in kJ/mol of atoms: a) 0.0; b) 7.3.

a) The following is a meta-GGA SCAN calculation of TiZnSb3 at its PBEsol-relaxed geometry, from the Alexandria database.

## Properties
Space-group type   No. 221

```
TiZnSb3
1.0
5.0873 0.0000 0.0000
0.0000 5.0873 0.0000
0.0000 0.0000 5.0873
Ti Zn Sb
1 1 3
direct
0.0000 0.0000 0.0000
0.5000 0.5000 0.5000
0.0000 0.5000 0.5000
0.5000 0.0000 0.5000
0.5000 0.5000 0.0000
```

b) The following is a meta-GGA SCAN calculation of TiZnSb3 at its PBEsol-relaxed geometry, from the Alexandria database.

## Properties
Space-group type   No. 221

```
TiZnSb3
1.0
5.1670 0.0000 0.0000
0.0000 5.1670 0.0000
0.0000 0.0000 5.1670
Ti Zn Sb
1 1 3
direct
0.0000 0.0000 0.0000
0.5000 0.5000 0.5000
0.0000 0.0000 0.5000
0.0000 0.5000 0.0000
0.5000 0.0000 0.0000
```

Energies, relative to the best one, in kJ/mol of atoms: a) 38.5; b) 0.0.

a) The following is a meta-GGA SCAN calculation of TlSb3 at its PBEsol-relaxed geometry, from the Alexandria database.

## Properties
Space-group type   No. 47

```
TlSb3
1.0
3.1991 0.0000 0.0000
0.0000 5.5397 0.0000
0.0000 0.0000 6.2845
Tl Sb
1 3
direct
0.0000 0.0000 0.0000
0.5000 0.0000 0.5000
0.5000 0.5000 0.2512
0.5000 0.5000 0.7488
```

b) The following is a meta-GGA SCAN calculation of TlSb3 at its PBEsol-relaxed geometry, from the Alexandria database.

## Properties
Space-group type   No. 63

```
TlSb3
1.0
4.5282 -4.3192 0.0000
4.5282 4.3192 0.0000
0.0000 0.0000 5.9513
Tl Sb
2 6
direct
0.0833 0.9167 0.7500
0.9167 0.0833 0.2500
0.0018 0.4328 0.7500
0.4328 0.0018 0.2500
0.4690 0.5310 0.2500
0.5310 0.4690 0.7500
0.5672 0.9982 0.7500
0.9982 0.5672 0.2500
```

Energies, relative to the best one, in kJ/mol of atoms: a) 0.0; b) 0.8.

a) The following is a meta-GGA SCAN calculation of Tl5Sb4 at its PBEsol-relaxed geometry, from the Alexandria database.

## Properties
Space-group type   No. 193

```
Tl5Sb4
1.0
9.3533 0.0000 0.0000
-4.6766 8.1002 0.0000
0.0000 0.0000 6.6667
Tl Sb
10 8
direct
0.0000 0.3624 0.2500
0.0000 0.6376 0.7500
0.3333 0.6667 0.0000
0.3333 0.6667 0.5000
0.3624 0.0000 0.2500
0.3624 0.3624 0.7500
0.6376 0.0000 0.7500
0.6376 0.6376 0.2500
0.6667 0.3333 0.0000
0.6667 0.3333 0.5000
0.0000 0.0000 0.0000
0.0000 0.0000 0.5000
0.0000 0.2919 0.7500
0.0000 0.7081 0.2500
0.2919 0.0000 0.7500
0.2919 0.2919 0.2500
0.7081 0.0000 0.2500
0.7081 0.7081 0.7500
```

b) The following is a meta-GGA SCAN calculation of Tl5Sb4 at its PBEsol-relaxed geometry, from the Alexandria database.

## Properties
Space-group type   No. 139

```
Tl5Sb4
1.0
-4.9775 4.9775 2.5600
4.9775 -4.9775 2.5600
4.9775 4.9775 -2.5600
Tl Sb
5 4
direct
0.0000 0.0000 0.0000
0.3305 0.3305 0.6609
0.3305 0.6695 0.0000
0.6695 0.3305 0.0000
0.6695 0.6695 0.3391
0.0000 0.3478 0.3478
0.0000 0.6522 0.6522
0.3478 0.0000 0.3478
0.6522 0.0000 0.6522
```

Energies, relative to the best one, in kJ/mol of atoms: a) 0.0; b) 2.2.

a) The following is a meta-GGA SCAN calculation of TlSb2W at its PBEsol-relaxed geometry, from the Alexandria database.

## Properties
Space-group type   No. 65

```
TlSb2W
1.0
1.8419 -2.5150 0.0000
1.8419 2.5150 0.0000
0.0000 0.0000 10.2764
Tl Sb W
1 2 1
direct
0.0000 0.0000 0.0000
0.5000 0.5000 0.2992
0.5000 0.5000 0.7008
0.0000 0.0000 0.5000
```

b) The following is a meta-GGA SCAN calculation of TlSb2W at its PBEsol-relaxed geometry, from the Alexandria database.

## Properties
Space-group type   No. 38

```
TlSb2W
1.0
4.8587 0.0000 0.0000
0.0000 1.8512 5.0258
0.0000 -1.8512 5.0258
Tl Sb W
1 2 1
direct
0.0000 0.0000 0.0000
0.0000 0.2763 0.2763
0.5000 0.6902 0.6902
0.5000 0.4034 0.4034
```

Energies, relative to the best one, in kJ/mol of atoms: a) 0.0; b) 17.8.

a) The following is a meta-GGA SCAN calculation of TlZnSb2 at its PBEsol-relaxed geometry, from the Alexandria database.

## Properties
Space-group type   No. 8

```
TlZnSb2
1.0
3.8511 -1.6342 0.0000
3.8511 1.6342 0.0000
-0.9961 0.0000 7.8954
Tl Zn Sb
1 1 2
direct
0.0000 0.0000 0.0000
0.7438 0.7438 0.2329
0.2476 0.2476 0.7131
0.4789 0.4789 0.4407
```

b) The following is a meta-GGA SCAN calculation of TlZnSb2 at its PBEsol-relaxed geometry, from the Alexandria database.

## Properties
Space-group type   No. 99

```
TlZnSb2
1.0
3.3354 0.0000 0.0000
0.0000 3.3354 0.0000
0.0000 0.0000 8.7247
Tl Zn Sb
1 1 2
direct
0.0000 0.0000 0.0000
0.5000 0.5000 0.2322
0.0000 0.0000 0.4390
0.5000 0.5000 0.7111
```

Energies, relative to the best one, in kJ/mol of atoms: a) 0.0; b) 10.8.

a) The following is a meta-GGA SCAN calculation of TlZnSb2 at its PBEsol-relaxed geometry, from the Alexandria database.

## Properties
Space-group type   No. 47

```
TlZnSb2
1.0
3.8906 0.0000 0.0000
0.0000 4.9388 0.0000
0.0000 0.0000 5.1347
Tl Zn Sb
1 1 2
direct
0.0000 0.0000 0.0000
0.5000 0.5000 0.0000
0.0000 0.5000 0.5000
0.5000 0.0000 0.5000
```

b) The following is a meta-GGA SCAN calculation of TlZnSb2 at its PBEsol-relaxed geometry, from the Alexandria database.

## Properties
Space-group type   No. 122

```
TlZnSb2
1.0
-3.1225 3.1225 6.4000
3.1225 -3.1225 6.4000
3.1225 3.1225 -6.4000
Tl Zn Sb
2 2 4
direct
0.0000 0.0000 0.0000
0.7500 0.2500 0.5000
0.2500 0.7500 0.5000
0.5000 0.5000 0.0000
0.1614 0.6250 0.0364
0.3750 0.4114 0.5364
0.5886 0.1250 0.9636
0.8750 0.8386 0.4636
```

Energies, relative to the best one, in kJ/mol of atoms: a) 18.1; b) 0.0.